No. 1
Compound: LaZnS2
Source: Alexandria via LeMat-Bulk
Functional: meta-GGA SCAN
Structure: PBEsol geometry

a b c (Å): 3.7793 3.7793 23.5143
angles (deg): 90.00 90.00 120.00
Space group R-3m (No. 166, hexagonal axes)
Unique sites:
La: 0.0000 0.0000 0.0000
Zn: 0.0000 0.0000 0.5000
S: 0.0000 0.0000 0.1131

Calculated values
* electronic total energy: -19.613 eV/atom



No. 2
Compound: SrCr2AgOs
Source: Alexandria via LeMat-Bulk
Functional: meta-GGA SCAN
Structure: PBEsol geometry

a b c (Å): 4.9018 4.9018 4.9680
angles (deg): 90.00 90.00 90.00
Space group P4/mmm (No. 123)
Unique sites:
Sr: 0.0000 0.0000 0.0000
Cr: 0.0000 0.5000 0.5000
Ag: 0.5000 0.5000 0.5000
Os: 0.5000 0.5000 0.0000

Calculated values
* formation energy from the elements: 5.98 eV per formula unit



No. 3
Compound: ReIrAu
Source: Alexandria via LeMat-Bulk
Functional: meta-GGA SCAN
Structure: PBEsol geometry

a b c (Å): 2.7877 2.7877 11.7321
angles (deg): 90.00 90.00 90.00
Space group I4mm (No. 107)
Unique sites:
Re: 0.0000 0.0000 0.0000
Ir: 0.0000 0.0000 0.3561
Au: 0.0000 0.0000 0.6741

Calculated values
* E above lowest polymorph: 0.00 kJ per mole of atoms
* formation energy from the elements: 0.32 eV per formula unit



No. 4
Compound: SrMnW
Source: Alexandria via LeMat-Bulk
Functional: meta-GGA SCAN
Structure: PBEsol geometry

a b c (Å): 3.1866 3.1866 12.0058
angles (deg): 90.00 90.00 90.00
Space group I4mm (No. 107)
Unique sites:
Sr: 0.0000 0.0000 0.0000
Mn: 0.0000 0.0000 0.2918
W: 0.0000 0.0000 0.7166

Calculated values
* E above lowest polymorph: 0.00 kJ per mole of atoms
* formation energy from the elements: 2.15 eV per formula unit



No. 5
Compound: NaH3Pd
Source: Alexandria via LeMat-Bulk
Functional: meta-GGA SCAN
Structure: PBEsol geometry

a b c (Å): 3.5585 3.5585 3.5585
angles (deg): 90.00 90.00 90.00
Space group Pm-3m (No. 221)
Unique sites:
Na: 0.0000 0.0000 0.0000
H: 0.0000 0.5000 0.5000
Pd: 0.5000 0.5000 0.5000

Calculated values
* electronic total energy: -9.795 eV/atom



No. 6
Compound: BaLa2Y
Source: Alexandria via LeMat-Bulk
Functional: meta-GGA SCAN
Structure: PBEsol geometry

a b c (Å): 5.2845 5.2845 10.4177
angles (deg): 90.00 90.00 90.00
Space group I-4m2 (No. 119)
Unique sites:
Ba: 0.0000 0.0000 0.0000
La: 0.0000 0.0000 0.5000
La: 0.0000 0.5000 0.2500
Y: 0.0000 0.5000 0.7500

Calculated values
* formation energy from the elements: 0.84 eV per formula unit



No. 7
Compound: SrNbSn2Se
Source: Alexandria via LeMat-Bulk
Functional: meta-GGA SCAN
Structure: PBEsol geometry

a b c (Å): 5.7052 5.7052 5.3590
angles (deg): 90.00 90.00 90.00
Space group P4/mmm (No. 123)
Unique sites:
Sr: 0.0000 0.0000 0.0000
Nb: 0.5000 0.5000 0.5000
Sn: 0.0000 0.5000 0.0000
Se: 0.0000 0.0000 0.5000

Calculated values
* E above lowest polymorph: 151.66 kJ per mole of atoms



No. 8
Compound: La3SnIr
Source: Alexandria via LeMat-Bulk
Functional: meta-GGA SCAN
Structure: PBEsol geometry

a b c (Å): 5.4897 5.4897 5.4897
angles (deg): 90.00 90.00 90.00
Space group Pm-3m (No. 221)
Unique sites:
La: 0.0000 0.0000 0.5000
Sn: 0.5000 0.5000 0.5000
Ir: 0.0000 0.0000 0.0000

Calculated values
* formation energy from the elements: -3.76 eV per formula unit



No. 9
Compound: ScNi3Ir
Source: Alexandria via LeMat-Bulk
Functional: meta-GGA SCAN
Structure: PBEsol geometry

a b c (Å): 4.4522 4.4522 4.4522
angles (deg): 90.00 90.00 90.00
Space group Pm-3m (No. 221)
Unique sites:
Sc: 0.0000 0.0000 0.0000
Ni: 0.0000 0.5000 0.5000
Ir: 0.5000 0.5000 0.5000

Calculated values
* formation energy from the elements: 3.29 eV per formula unit



No. 10
Compound: Ti2CoCuGe
Source: Alexandria via LeMat-Bulk
Functional: meta-GGA SCAN
Structure: PBEsol geometry

a b c (Å): 4.5208 4.5208 4.2026
angles (deg): 90.00 90.00 90.00
Space group P4/mmm (No. 123)
Unique sites:
Ti: 0.0000 0.5000 0.0000
Co: 0.0000 0.0000 0.5000
Cu: 0.5000 0.5000 0.0000
Ge: 0.5000 0.5000 0.5000

Calculated values
* formation energy from the elements: 3.04 eV per formula unit



No. 11
Compound: CdCo2Tc
Source: Alexandria via LeMat-Bulk
Functional: meta-GGA SCAN
Structure: PBEsol geometry

a b c (Å): 4.0225 2.6365 9.9279
angles (deg): 90.00 90.00 90.00
Space group Amm2 (No. 38)
Unique sites:
Cd: 0.0000 0.0000 0.0000
Co: 0.0000 0.0000 0.2591
Co: 0.5000 0.0000 0.3850
Tc: 0.5000 0.0000 0.6681

Calculated values
* formation energy from the elements: 1.65 eV per formula unit